--- 1 ---
First-principles (PBE) data for a geometry-optimized Ag4C5 structure, as listed in the Alexandria database.

Properties
For the density of states at the Fermi level, the calculation gives 4.7 states/eV/cell.

Lattice parameters (Å, degrees): 10.524 10.524 2.616 90.00 90.00 90.00
Space group I4/mmm (No. 139)
Asymmetric unit:
1 Ag 0.000 0.208 0.000 [8 per cell]
2 C 0.000 0.000 0.000 [2 per cell]
3 C 0.232 0.232 0.000 [8 per cell]

--- 2 ---
First-principles (PBE) data for a geometry-optimized Ag4C5 structure, as listed in the Alexandria database.

Properties
For the density of states at the Fermi level, the calculation gives 4.6 states/eV/cell.

Lattice parameters (Å, degrees): 5.9754 5.9754 8.2644 90.00 90.00 120.00
Space group P6_3/mcm (No. 193)
Asymmetric unit:
1 Ag 0.0000 0.0000 0.0000 [2 per cell]
2 Ag 0.0000 0.4910 0.2500 [6 per cell]
3 C 0.0000 0.1411 0.2500 [6 per cell]
4 C 0.3333 0.6667 0.0000 [4 per cell]

Verdict on stability: 2 comes out at the bottom.

--- 1 ---
First-principles (PBE) data for a geometry-optimized Ca3AgC structure, as listed in the Alexandria database.

Properties
For the density of states at the Fermi level, the calculation gives 6.5 states/eV/cell.

Lattice parameters (Å, degrees): 4.079 8.030 8.775 83.25 83.62 77.96
Space group P-1 (No. 2)
Asymmetric unit:
1 Ca 0.007 0.247 0.454 [2 per cell]
2 Ca 0.331 0.989 0.808 [2 per cell]
3 Ca 0.435 0.573 0.188 [2 per cell]
4 Ag 0.071 0.300 0.069 [2 per cell]
5 C 0.401 0.945 0.509 [2 per cell]

--- 2 ---
First-principles (PBE) data for a geometry-optimized Ca3AgC structure, as listed in the Alexandria database.

Properties
For the density of states at the Fermi level, the calculation gives 5.2 states/eV/cell.

Lattice parameters (Å, degrees): 5.062 5.062 5.062 90.00 90.00 90.00
Space group Pm-3m (No. 221)
Asymmetric unit:
1 Ca 0.000 0.000 0.500 [3 per cell]
2 Ag 0.500 0.500 0.500 [1 per cell]
3 C 0.000 0.000 0.000 [1 per cell]

Verdict on stability: 2 comes out at the bottom.

--- 1 ---
First-principles (PBE) data for a geometry-optimized CaAg3C structure, as listed in the Alexandria database.

Properties
For the density of states at the Fermi level, the calculation gives 3.2 states/eV/cell.

Lattice parameters (Å, degrees): 5.579 5.579 5.579 90.00 90.00 90.00
Space group Pm-3m (No. 221)
Asymmetric unit:
1 Ca 0.000 0.000 0.000 [1 per cell]
2 Ag 0.000 0.000 0.500 [3 per cell]
3 C 0.500 0.500 0.500 [1 per cell]

--- 2 ---
First-principles (PBE) data for a geometry-optimized CaAg3C structure, as listed in the Alexandria database.

Properties
For the density of states at the Fermi level, the calculation gives 1.3 states/eV/cell.

Lattice parameters (Å, degrees): 4.476 4.476 4.476 90.00 90.00 90.00
Space group Pm-3m (No. 221)
Asymmetric unit:
1 Ca 0.000 0.000 0.000 [1 per cell]
2 Ag 0.000 0.500 0.500 [3 per cell]
3 C 0.500 0.500 0.500 [1 per cell]

Verdict on stability: 1 comes out at the bottom.

--- 1 ---
First-principles (PBE) data for a geometry-optimized Ca2MnAgC structure, as listed in the Alexandria database.

Properties
For the density of states at the Fermi level, the calculation gives 3.5 states/eV/cell.

Lattice parameters (Å, degrees): 5.191 5.191 3.817 90.00 90.00 90.00
Space group P4/mmm (No. 123)
Asymmetric unit:
1 Ca 0.000 0.500 0.000 [2 per cell]
2 Mn 0.000 0.000 0.500 [1 per cell]
3 Ag 0.500 0.500 0.500 [1 per cell]
4 C 0.000 0.000 0.000 [1 per cell]

--- 2 ---
First-principles (PBE) data for a geometry-optimized Ca2MnAgC structure, as listed in the Alexandria database.

Properties
For the density of states at the Fermi level, the calculation gives 3.0 states/eV/cell.

Lattice parameters (Å, degrees): 5.102 5.102 4.209 90.00 90.00 90.00
Space group P4/mmm (No. 123)
Asymmetric unit:
1 Ca 0.000 0.500 0.000 [2 per cell]
2 Mn 0.000 0.000 0.500 [1 per cell]
3 Ag 0.500 0.500 0.500 [1 per cell]
4 C 0.500 0.500 0.000 [1 per cell]

Verdict on stability: 2 comes out at the bottom.